[1]
Entry from Alexandria via LeMat-Bulk: a relaxed structure of PbICl3 (PBE).

The space group is Pm-3m (No. 221) and the conventional cell measures 5.559, 5.559 and 5.559 Å, with angles of 90.00, 90.00 and 90.00 degrees. The inequivalent atoms are Pb at (0.000, 0.000, 0.000), I at (0.500, 0.500, 0.500) and Cl at (0.000, 0.000, 0.500).

Its formation energy without anion corrections is -0.387 eV per atom. The value obtained for the magnetization is 1.6 μB per cell. As for the excess energy over the best structure of this formula in the dataset: 0 meV per atom. The total energy comes out at -12.7 eV per cell.



[2]
Entry from Alexandria via LeMat-Bulk: a relaxed structure of Pb2ICl2 (PBE).

The space group is P4/mbm (No. 127) and the conventional cell measures 8.988, 8.988 and 3.743 Å, with angles of 90.00, 90.00 and 90.00 degrees. The inequivalent atoms are Pb at (0.173, 0.327, 0.000), I at (0.000, 0.000, 0.000) and Cl at (0.136, 0.636, 0.500).

Its formation energy without anion corrections is -0.641 eV per atom. The value obtained for the magnetization is 0.0 μB per cell. As for the excess energy over the best structure of this formula in the dataset: 9 meV per atom. The total energy comes out at -31.7 eV per cell.



[3]
Entry from Alexandria via LeMat-Bulk: a relaxed structure of PbI2Cl6 (PBE).

The space group is C2/c (No. 15) and the conventional cell measures 19.683, 10.228 and 7.244 Å, with angles of 90.00, 96.06 and 90.00 degrees. The inequivalent atoms are Pb at (0.000, 0.102, 0.250), I at (0.168, 0.374, 0.409), Cl at (0.081, 0.075, 0.607), Cl at (0.089, 0.380, 0.117) and Cl at (0.246, 0.364, 0.700).

Its formation energy without anion corrections is -0.435 eV per atom. The value obtained for the magnetization is 0.0 μB per cell. As for the excess energy over the best structure of this formula in the dataset: 0 meV per atom. The total energy comes out at -87.2 eV per cell.



[4]
Entry from Alexandria via LeMat-Bulk: a relaxed structure of Pb2I3Cl (PBE).

The space group is P-3m1 (No. 164) and the conventional cell measures 9.1402, 9.1402 and 7.5701 Å, with angles of 90.00, 90.00 and 120.00 degrees. The inequivalent atoms are Pb at (0.0000, 0.0000, 0.0000), Pb at (0.0000, 0.5000, 0.0000), I at (0.1656, 0.3312, 0.2550) and Cl at (0.3333, 0.6667, 0.8231).

Its formation energy without anion corrections is -0.765 eV per atom. The value obtained for the magnetization is 0.0 μB per cell. As for the excess energy over the best structure of this formula in the dataset: 0 meV per atom. The total energy comes out at -37.0 eV per cell.



[5]
Entry from Alexandria via LeMat-Bulk: a relaxed structure of PbICl (PBE).

The space group is F-43m (No. 216) and the conventional cell measures 7.545, 7.545 and 7.545 Å, with angles of 90.00, 90.00 and 90.00 degrees. The inequivalent atoms are Pb at (0.000, 0.000, 0.000), I at (0.250, 0.250, 0.750) and Cl at (0.250, 0.250, 0.250).

Its formation energy without anion corrections is -0.796 eV per atom. The value obtained for the magnetization is 0.0 μB per cell. The total energy comes out at -38.0 eV per cell.



[6]
Entry from Alexandria via LeMat-Bulk: a relaxed structure of PbICl2 (PBE).

The space group is R-3m (No. 166, hexagonal axes) and the conventional cell measures 4.1659, 4.1659 and 36.0978 Å, with angles of 90.00, 90.00 and 120.00 degrees. The inequivalent atoms are Pb at (0.0000, 0.0000, 0.0000), I at (0.0000, 0.0000, 0.5000) and Cl at (0.0000, 0.0000, 0.3786).

Its formation energy without anion corrections is -0.624 eV per atom. The value obtained for the magnetization is 3.0 μB per cell. As for the excess energy over the best structure of this formula in the dataset: 93 meV per atom. The total energy comes out at -34.3 eV per cell.



What is the formula in the sixth record? PbICl2